[1]
Compound: NdTe3Au2
Source: the Alexandria database
Functional: PBE
Structure: optimized geometry

The space group is C2/m (No. 12) and the conventional cell measures 22.528, 4.319 and 7.836 Å, with angles of 90.00, 98.64 and 90.00 degrees. The distinct sites, in fractional coordinates, are Nd at (0.150, 0.000, 0.033), Te at (0.075, 0.500, 0.805), Te at (0.083, 0.000, 0.366), Te at (0.248, 0.500, 0.218), Au at (0.052, 0.500, 0.147) and Au at (0.205, 0.000, 0.434).

For the density of states at the Fermi level, the calculation gives 13.83 states/eV/cell. The calculation puts the uncorrected formation energy at -585 meV/atom. The electronic total energy is -97.03 eV per cell.



[2]
Compound: NdTe2Au
Source: the Alexandria database
Functional: PBE
Structure: optimized geometry

The space group is P2_1/c (No. 14) and the conventional cell measures 6.786, 7.934 and 8.589 Å, with angles of 90.00, 90.04 and 90.00 degrees. The distinct sites, in fractional coordinates, are Nd at (0.178, 0.043, 0.250), Te at (0.083, 0.750, 0.000), Te at (0.362, 0.076, 0.750) and Au at (0.496, 0.250, 0.000).

The calculation puts the uncorrected formation energy at -946 meV/atom. The electronic total energy is -72.45 eV per cell.



[3]
Compound: Nd8Te2Au3
Source: the Alexandria database
Functional: PBE
Structure: optimized geometry

The space group is C2/m (No. 12) and the conventional cell measures 14.671, 8.079 and 7.440 Å, with angles of 90.00, 91.85 and 90.00 degrees. The distinct sites, in fractional coordinates, are Nd at (0.104, 0.000, 0.375), Nd at (0.111, 0.240, 0.825), Nd at (0.151, 0.500, 0.314), Te at (0.238, 0.000, 0.059), Au at (0.000, 0.316, 0.500) and Au at (0.000, 0.500, 0.000).

For the density of states at the Fermi level, the calculation gives 33.34 states/eV/cell. The calculation puts the uncorrected formation energy at -622 meV/atom. The electronic total energy is -124.68 eV per cell.



Which formula does entry 3 have? Nd8Te2Au3



Which of these has the lowest electronic total energy? Nd8Te2Au3